# Li4Mn3Ni3W2O16 GGA+U relaxed
# Size of the total moment (μB per atom): 0.607
# Theoretical density (g/cm³): 5.52
# DFT total energy (eV per atom): -6.4133
data_Li4Mn3Ni3W2O16
_cell_length_a 10.421
_cell_length_b 5.877
_cell_length_c 9.748
_cell_angle_alpha 90.00
_cell_angle_beta 91.14
_cell_angle_gamma 90.00
_space_group_name_H-M_alt 'C 1 m 1'
_space_group_IT_number 8
_space_group_name_Hall 'C -2y'
loop_
_atom_site_label
_atom_site_type_symbol
_atom_site_fract_x
_atom_site_fract_y
_atom_site_fract_z
Li1 Li 0.000 0.000 0.000
Li2 Li 0.015 0.000 0.495
Li3 Li 0.170 0.500 0.922
Li4 Li 0.352 0.000 0.413
Mn1 Mn 0.337 0.500 0.224
Mn2 Mn 0.424 0.248 0.724
Ni1 Ni 0.091 0.255 0.220
Ni2 Ni 0.182 0.000 0.722
W1 W 0.178 0.500 0.491
W2 W 0.326 0.000 0.997
O1 O 0.002 0.000 0.309
O2 O 0.009 0.000 0.811
O3 O 0.035 0.500 0.365
O4 O 0.112 0.254 0.590
O5 O 0.174 0.000 0.096
O6 O 0.181 0.500 0.122
O7 O 0.264 0.225 0.866
O8 O 0.264 0.286 0.352
O9 O 0.350 0.500 0.600
O10 O 0.352 0.000 0.621
O11 O 0.413 0.246 0.101
O12 O 0.485 0.000 0.856